Record 1
Compound: FeH3Os
Source: Alexandria via LeMat-Bulk
Functional: PBE-GGA
Structure: optimized geometry

Cell lengths 3.437, 3.437, 3.437 Å; angles 90.00, 90.00, 90.00 degrees
Fractional positions:
Fe: 0.000 0.000 0.000
H: 0.000 0.500 0.500
H: 0.500 0.000 0.500
H: 0.500 0.500 0.000
Os: 0.500 0.500 0.500

Values from the calculation:
Calculated total energy   -27.30 eV for the cell shown
Crystal system   cubic
Magnetic moment   3.4 Bohr magnetons per cell



Record 2
Compound: GeTeI2Cl
Source: Alexandria via LeMat-Bulk
Functional: PBE-GGA
Structure: optimized geometry

Cell lengths 5.478, 5.478, 5.881 Å; angles 90.00, 90.00, 90.00 degrees
Fractional positions:
Ge: 0.000 0.000 0.000
Te: 0.500 0.500 0.000
I: 0.000 0.500 0.500
I: 0.500 0.000 0.500
Cl: 0.500 0.500 0.500

Values from the calculation:
Calculated total energy   -9.25 eV for the cell shown
Crystal system   tetragonal
Magnetic moment   0.0 Bohr magnetons per cell



Record 3
Compound: Ba3AgH2
Source: Alexandria via LeMat-Bulk
Functional: PBE-GGA
Structure: optimized geometry

Cell lengths 11.733, 11.733, 8.218 Å; angles 98.13, 98.13, 22.26 degrees
Fractional positions:
Ba: 0.069 0.069 0.362
Ba: 0.249 0.249 0.781
Ba: 0.413 0.413 0.170
Ba: 0.587 0.587 0.830
Ba: 0.751 0.751 0.219
Ba: 0.931 0.931 0.638
Ag: 0.331 0.331 0.479
Ag: 0.669 0.669 0.521
H: 0.049 0.049 0.679
H: 0.294 0.294 0.095
H: 0.706 0.706 0.905
H: 0.951 0.951 0.321

Values from the calculation:
Calculated total energy   -33.70 eV for the cell shown
Crystal system   monoclinic
Magnetic moment   0.4 Bohr magnetons per cell



Record 4
Compound: CdPCl2
Source: Alexandria via LeMat-Bulk
Functional: PBE-GGA
Structure: optimized geometry

Cell lengths 4.894, 4.894, 4.894 Å; angles 60.00, 60.00, 60.00 degrees
Fractional positions:
Cd: 0.000 0.000 0.000
P: 0.750 0.750 0.750
Cl: 0.250 0.250 0.250
Cl: 0.500 0.500 0.500

Values from the calculation:
Calculated total energy   -8.40 eV for the cell shown
Crystal system   cubic
Magnetic moment   0.9 Bohr magnetons per cell



Q: What is the formula in the fourth record?
A: CdPCl2